Record 1
# GGA-PBEsol SrReTc2, optimized geometry
# Calculated formation energy   0.688 eV per atom
# Energy relative to the lowest polymorph listed for this composition   0.0 meV/atom
# N(E_F)   0.818 states/eV/atom
# E_tot   -69.903 eV per cell
# Size of the total moment   0.000 μB per cell
data_SrReTc2
_chemical_formula_sum 'Sr2 Re2 Tc4'
_cell_length_a 9.2387
_cell_length_b 3.0008
_cell_length_c 5.8511
_cell_angle_alpha 90.00
_cell_angle_beta 103.66
_cell_angle_gamma 90.00
_space_group_name_H-M_alt 'C 1 2/m 1'
_space_group_IT_number 12
_space_group_name_Hall '-C 2y'
loop_
_atom_site_label
_atom_site_type_symbol
_atom_site_fract_x
_atom_site_fract_y
_atom_site_fract_z
Sr1 Sr 0.0000 0.0000 0.0000
Re1 Re 0.0000 0.5000 0.5000
Tc1 Tc 0.2163 0.0000 0.6542

=====

Record 2
# GGA-PBEsol Sr3ReTc, optimized geometry
# Calculated formation energy   1.723 eV per atom
# N(E_F)   1.204 states/eV/atom
# E_tot   -21.507 eV per cell
# Size of the total moment   3.565 μB per cell
data_Sr3ReTc
_chemical_formula_sum 'Sr3 Re1 Tc1'
_cell_length_a 5.5709
_cell_length_b 5.5709
_cell_length_c 5.5709
_cell_angle_alpha 90.00
_cell_angle_beta 90.00
_cell_angle_gamma 90.00
_space_group_name_H-M_alt 'P m -3 m'
_space_group_IT_number 221
_space_group_name_Hall '-P 4 2 3'
loop_
_atom_site_label
_atom_site_type_symbol
_atom_site_fract_x
_atom_site_fract_y
_atom_site_fract_z
Sr1 Sr 0.0000 0.0000 0.5000
Re1 Re 0.0000 0.0000 0.0000
Tc1 Tc 0.5000 0.5000 0.5000

=====

Record 3
# GGA-PBEsol SrReTc2, optimized geometry
# Calculated formation energy   0.712 eV per atom
# Energy relative to the lowest polymorph listed for this composition   23.7 meV/atom
# N(E_F)   0.923 states/eV/atom
# E_tot   -34.857 eV per cell
# Size of the total moment   0.000 μB per cell
data_SrReTc2
_chemical_formula_sum 'Sr1 Re1 Tc2'
_cell_length_a 2.8512
_cell_length_b 4.0616
_cell_length_c 6.6982
_cell_angle_alpha 90.00
_cell_angle_beta 101.60
_cell_angle_gamma 90.00
_space_group_name_H-M_alt 'P 1 2/m 1'
_space_group_IT_number 10
_space_group_name_Hall '-P 2y'
loop_
_atom_site_label
_atom_site_type_symbol
_atom_site_fract_x
_atom_site_fract_y
_atom_site_fract_z
Sr1 Sr 0.0000 0.0000 0.0000
Re1 Re 0.0000 0.0000 0.5000
Tc1 Tc 0.4066 0.5000 0.6741

=====

Record 4
# GGA-PBEsol SrReTc2, optimized geometry
# Calculated formation energy   1.053 eV per atom
# Energy relative to the lowest polymorph listed for this composition   364.8 meV/atom
# N(E_F)   1.297 states/eV/atom
# E_tot   -33.493 eV per cell
# Size of the total moment   0.000 μB per cell
data_SrReTc2
_chemical_formula_sum 'Sr1 Re1 Tc2'
_cell_length_a 4.6669
_cell_length_b 4.6669
_cell_length_c 3.0657
_cell_angle_alpha 90.00
_cell_angle_beta 90.00
_cell_angle_gamma 90.00
_space_group_name_H-M_alt 'P 4/m m m'
_space_group_IT_number 123
_space_group_name_Hall '-P 4 2'
loop_
_atom_site_label
_atom_site_type_symbol
_atom_site_fract_x
_atom_site_fract_y
_atom_site_fract_z
Sr1 Sr 0.0000 0.0000 0.0000
Re1 Re 0.5000 0.5000 0.0000
Tc1 Tc 0.0000 0.5000 0.5000

=====

Record 5
# GGA-PBEsol SrRe3Te, optimized geometry
# Formation energy without anion corrections   196 kJ/mol of atoms
# N(E_F)   0.868 states/eV/atom
# E_tot   -35.185 eV per cell
# Size of the total moment   2.198 μB per cell
data_SrRe3Te
_chemical_formula_sum 'Sr1 Re3 Te1'
_cell_length_a 4.8877
_cell_length_b 4.8877
_cell_length_c 4.8877
_cell_angle_alpha 90.00
_cell_angle_beta 90.00
_cell_angle_gamma 90.00
_space_group_name_H-M_alt 'P m -3 m'
_space_group_IT_number 221
_space_group_name_Hall '-P 4 2 3'
loop_
_atom_site_label
_atom_site_type_symbol
_atom_site_fract_x
_atom_site_fract_y
_atom_site_fract_z
Sr1 Sr 0.0000 0.0000 0.0000
Re1 Re 0.0000 0.5000 0.5000
Te1 Te 0.5000 0.5000 0.5000

=====

Record 6
# GGA-PBEsol SrRe4Te, optimized geometry
# Formation energy without anion corrections   68 kJ/mol of atoms
# N(E_F)   0.731 states/eV/atom
# E_tot   -217.921 eV per cell
# Size of the total moment   0.000 μB per cell
data_SrRe4Te
_chemical_formula_sum 'Sr4 Re16 Te4'
_cell_length_a 7.6183
_cell_length_b 7.6183
_cell_length_c 7.6183
_cell_angle_alpha 90.00
_cell_angle_beta 90.00
_cell_angle_gamma 90.00
_space_group_name_H-M_alt 'F -4 3 m'
_space_group_IT_number 216
_space_group_name_Hall 'F -4 2 3'
loop_
_atom_site_label
_atom_site_type_symbol
_atom_site_fract_x
_atom_site_fract_y
_atom_site_fract_z
Sr1 Sr 0.0000 0.0000 0.0000
Re1 Re 0.1240 0.1240 0.3760
Te1 Te 0.2500 0.2500 0.7500